[1]
Density functional theory data (PBE-GGA) for a relaxed structure of ZnCF2.

Lattice parameters (Å, degrees): 5.8707 5.8707 5.8707 119.28 119.28 91.25
Atoms (fractional coordinates):
Zn: 0.0000 0.0000 0.0000
Zn: 0.7500 0.2500 0.5000
C: 0.2500 0.7500 0.5000
C: 0.5000 0.5000 0.0000
F: 0.3750 0.2391 0.3641
F: 0.7609 0.1250 0.1359
F: 0.8750 0.0109 0.6359
F: 0.9891 0.6250 0.8641

Computed properties:
Formation energy from raw total energies   0.238 eV per atom
Spin magnetization   2.00 μB/f.u.
E_tot   -3.322 eV/atom
V   18.1 Å³ per atom
Relative energy among the computed polymorphs   0 meV/atom

=====

[2]
Density functional theory data (PBE-GGA) for a relaxed structure of Zn2CF.

Lattice parameters (Å, degrees): 3.9619 3.9619 3.9619 60.00 60.00 60.00
Atoms (fractional coordinates):
Zn: 0.2500 0.2500 0.2500
Zn: 0.7500 0.7500 0.7500
C: 0.0000 0.0000 0.0000
F: 0.5000 0.5000 0.5000

Computed properties:
Formation energy from raw total energies   0.400 eV per atom
Spin magnetization   0.92 μB/f.u.
E_tot   -3.011 eV/atom
V   11.0 Å³ per atom
Relative energy among the computed polymorphs   511 meV/atom

=====

[3]
Density functional theory data (PBE-GGA) for a relaxed structure of ZnCF2.

Lattice parameters (Å, degrees): 8.1411 8.1411 8.1411 17.73 17.73 17.73
Atoms (fractional coordinates):
Zn: 0.0000 0.0000 0.0000
C: 0.5000 0.5000 0.5000
F: 0.4407 0.4407 0.4407
F: 0.5593 0.5593 0.5593

Computed properties:
Formation energy from raw total energies   0.323 eV per atom
Spin magnetization   0.00 μB/f.u.
E_tot   -3.237 eV/atom
V   10.9 Å³ per atom
Relative energy among the computed polymorphs   85 meV/atom

=====

[4]
Density functional theory data (PBE-GGA) for a relaxed structure of Zn2CF.

Lattice parameters (Å, degrees): 5.9623 5.9623 5.9623 131.68 131.68 70.73
Atoms (fractional coordinates):
Zn: 0.0741 0.6250 0.9491
Zn: 0.3750 0.3241 0.4491
Zn: 0.6759 0.1250 0.0509
Zn: 0.8750 0.9259 0.5509
C: 0.0000 0.0000 0.0000
C: 0.7500 0.2500 0.5000
F: 0.2500 0.7500 0.5000
F: 0.5000 0.5000 0.0000

Computed properties:
Formation energy from raw total energies   -0.111 eV per atom
Spin magnetization   1.00 μB/f.u.
E_tot   -3.522 eV/atom
V   14.5 Å³ per atom
Relative energy among the computed polymorphs   0 meV/atom

=====

> Which formula does entry 3 have?

ZnCF2